First-principles (PBE) data for crystalline Te3Mo4 at its relaxed geometry, as listed in Alexandria via LeMat-Bulk.

Unit cell a=13.3750 b=13.3750 c=13.3750 alpha=165.98 beta=165.98 gamma=19.88
Positions (direct):
Te (0.0000, 0.0000, 0.0000)
Te (0.6854, 0.6854, 0.0000)
Te (0.3146, 0.3146, 0.0000)
Mo (0.8746, 0.8746, 0.0000)
Mo (0.1254, 0.1254, 0.0000)
Mo (0.5624, 0.5624, 0.0000)
Mo (0.4376, 0.4376, 0.0000)

Output
N(E_F): 0.8331 states/eV per atom
Energy relative to the elements, uncorrected: 0.210 eV/atom
Crystal system: tetragonal
Space-group type: No. 139

First-principles (PBE) data for crystalline Te2Mo at its relaxed geometry, as listed in Alexandria via LeMat-Bulk.

Unit cell a=3.5555 b=3.5555 c=14.9353 alpha=90.00 beta=90.00 gamma=60.00
Positions (direct):
Mo (0.3333, 0.3333, 0.9496)
Mo (0.6667, 0.6667, 0.4485)
Te (0.3333, 0.3333, 0.3273)
Te (0.3333, 0.3333, 0.5698)
Te (0.6667, 0.6667, 0.0708)
Te (0.6667, 0.6667, 0.8284)

Output
N(E_F): 0.0000 states/eV per atom
Energy relative to the elements, uncorrected: -0.281 eV/atom
Crystal system: trigonal
Space-group type: No. 164

First-principles (PBE) data for crystalline TeMo at its relaxed geometry, as listed in Alexandria via LeMat-Bulk.

Unit cell a=5.7477 b=5.7477 c=5.7477 alpha=90.00 beta=90.00 gamma=90.00
Site moments in Bohr magnetons follow the coordinates.
Positions (direct):
Te (0.5000, 0.5000, 0.5000)  0.00
Te (0.5000, 0.0000, 0.0000)  0.00
Te (0.0000, 0.5000, 0.0000)  0.00
Te (0.0000, 0.0000, 0.5000)  0.00
Mo (0.0000, 0.0000, 0.0000)  2.58
Mo (0.0000, 0.5000, 0.5000)  2.58
Mo (0.5000, 0.0000, 0.5000)  2.58
Mo (0.5000, 0.5000, 0.0000)  2.58

Output
N(E_F): 0.4450 states/eV per atom
Energy relative to the elements, uncorrected: 0.769 eV/atom
Crystal system: cubic
Space-group type: No. 225

First-principles (PBE) data for crystalline Te2Mo at its relaxed geometry, as listed in Alexandria via LeMat-Bulk.

Unit cell a=4.7544 b=4.7544 c=4.7544 alpha=60.00 beta=60.00 gamma=60.00
Site moments in Bohr magnetons follow the coordinates.
Positions (direct):
Mo (0.0000, 0.0000, 0.0000)  1.29
Te (0.2500, 0.2500, 0.2500)  -0.03
Te (0.7500, 0.7500, 0.7500)  -0.03

Output
N(E_F): 1.1647 states/eV per atom
Energy relative to the elements, uncorrected: 0.205 eV/atom
Crystal system: cubic
Space-group type: No. 225